No. 1
A relaxed structure of Cr3Br, computed with PBEsol.

Properties
- density of states at the Fermi level (states/eV/atom) = 0.9385
- energy relative to the elements, uncorrected (meV/atom) = 774
- total magnetization (Bohr magnetons per cell) = 0.69
- relative energy among the computed polymorphs (kcal/mol of atoms) = 0.00

abc: 2.9085 4.3215 4.2621
angles: 90.00 90.00 90.00
Closest atoms and distances in Å follow each position.
Space group Pmm2 (No. 25)
Symmetry-distinct sites (fractional):
Cr  0.0000  0.0000  0.0000 (multiplicity 1)  2 Cr 2.39, 4 Br 2.51-2.65
Cr  0.0000  0.5000  0.2419 (multiplicity 1)  4 Cr 2.23-2.39
Cr  0.5000  0.5000  0.8456 (multiplicity 1)  2 Cr 2.23
Br  0.5000  0.0000  0.5201 (multiplicity 1)  6 Cr 2.51-2.65

***

No. 2
A relaxed structure of BeAs2Pt, computed with PBEsol.

Properties
- density of states at the Fermi level (states/eV/atom) = 0.4276
- total magnetization (Bohr magnetons per cell) = 0.00
- energy of formation from the pure elements (eV per formula unit) = 0.14

abc: 6.1971 3.5783 6.0155
angles: 90.00 109.97 90.00
Closest atoms and distances in Å follow each position.
Space group C2/m (No. 12)
Symmetry-distinct sites (fractional):
Be  0.0000  0.0000  0.0000 (multiplicity 2)  6 As 2.45-2.46
As  0.2458  0.5000  0.2353 (multiplicity 4)  3 Be 2.45-2.46, 3 Pt 2.55
Pt  0.0000  0.5000  0.5000 (multiplicity 2)  6 As 2.55